First-principles (PBE-GGA) data for an optimized crystal structure of Tl2SnBi, as listed in Alexandria.

Unit cell a=3.464 b=3.464 c=36.012 alpha=90.00 beta=90.00 gamma=120.00
Positions (direct):
1 Tl 0.000 0.000 0.088
2 Tl 0.000 0.000 0.912
3 Tl 0.333 0.667 0.579
4 Tl 0.333 0.667 0.754
5 Tl 0.667 0.333 0.246
6 Tl 0.667 0.333 0.421
7 Sn 0.000 0.000 0.000
8 Sn 0.333 0.667 0.667
9 Sn 0.667 0.333 0.333
10 Bi 0.000 0.000 0.500
11 Bi 0.333 0.667 0.167
12 Bi 0.667 0.333 0.833


First-principles (PBE-GGA) data for an optimized crystal structure of Tl4Sn3Bi, as listed in Alexandria.

Unit cell a=23.158 b=5.598 c=3.764 alpha=90.00 beta=99.07 gamma=90.00
Positions (direct):
1 Tl 0.132 0.000 0.133
2 Tl 0.234 0.500 0.234
3 Tl 0.266 0.000 0.766
4 Tl 0.368 0.500 0.867
5 Tl 0.632 0.500 0.133
6 Tl 0.734 0.000 0.234
7 Tl 0.766 0.500 0.766
8 Tl 0.868 0.000 0.867
9 Sn 0.000 0.500 0.000
10 Sn 0.110 0.500 0.610
11 Sn 0.390 0.000 0.390
12 Sn 0.500 0.000 0.000
13 Sn 0.610 0.000 0.610
14 Sn 0.890 0.500 0.390
15 Bi 0.000 0.000 0.500
16 Bi 0.500 0.500 0.500


First-principles (PBE-GGA) data for an optimized crystal structure of Tl2SnBi2, as listed in Alexandria.

Unit cell a=6.462 b=6.462 c=10.285 alpha=103.10 beta=103.10 gamma=51.57
Positions (direct):
1 Tl 0.036 0.036 0.341
2 Tl 0.158 0.158 0.047
3 Tl 0.842 0.842 0.953
4 Tl 0.964 0.964 0.659
5 Sn 0.264 0.264 0.690
6 Sn 0.736 0.736 0.310
7 Bi 0.350 0.350 0.423
8 Bi 0.473 0.473 0.144
9 Bi 0.527 0.527 0.856
10 Bi 0.650 0.650 0.577


First-principles (PBE-GGA) data for an optimized crystal structure of TlSnBi2, as listed in Alexandria.

Unit cell a=4.327 b=4.327 c=24.633 alpha=90.00 beta=90.00 gamma=120.00
Positions (direct):
1 Tl 0.000 0.000 0.000
2 Tl 0.333 0.667 0.667
3 Tl 0.667 0.333 0.333
4 Sn 0.000 0.000 0.833
5 Sn 0.333 0.667 0.500
6 Sn 0.667 0.333 0.166
7 Bi 0.000 0.000 0.243
8 Bi 0.000 0.000 0.423
9 Bi 0.333 0.667 0.090
10 Bi 0.333 0.667 0.910
11 Bi 0.667 0.333 0.576
12 Bi 0.667 0.333 0.756


First-principles (PBE-GGA) data for an optimized crystal structure of TlSnBi2, as listed in Alexandria.

Unit cell a=4.306 b=4.306 c=24.797 alpha=90.00 beta=90.00 gamma=120.00
Positions (direct):
1 Tl 0.000 0.000 0.000
2 Tl 0.333 0.667 0.667
3 Tl 0.667 0.333 0.333
4 Sn 0.000 0.000 0.500
5 Sn 0.333 0.667 0.167
6 Sn 0.667 0.333 0.833
7 Bi 0.000 0.000 0.243
8 Bi 0.000 0.000 0.757
9 Bi 0.333 0.667 0.424
10 Bi 0.333 0.667 0.909
11 Bi 0.667 0.333 0.091
12 Bi 0.667 0.333 0.576


First-principles (PBE-GGA) data for an optimized crystal structure of Tl8SnBi2, as listed in Alexandria.

Unit cell a=9.646 b=9.646 c=5.307 alpha=105.75 beta=105.75 gamma=49.88
Positions (direct):
1 Tl 0.000 0.000 0.000
2 Tl 0.236 0.532 0.384
3 Tl 0.350 0.036 0.192
4 Tl 0.468 0.764 0.616
5 Tl 0.498 0.182 0.840
6 Tl 0.699 0.301 0.500
7 Tl 0.818 0.502 0.160
8 Tl 0.964 0.650 0.808
9 Sn 0.411 0.589 0.000
10 Bi 0.089 0.234 0.661
11 Bi 0.766 0.911 0.339


First-principles (PBE-GGA) data for an optimized crystal structure of TlSn3Bi3, as listed in Alexandria.

Unit cell a=8.592 b=8.592 c=8.592 alpha=90.00 beta=90.00 gamma=90.00
Positions (direct):
1 Tl 0.000 0.000 0.000
2 Tl 0.500 0.500 0.500
3 Sn 0.000 0.250 0.500
4 Sn 0.000 0.750 0.500
5 Sn 0.250 0.500 0.000
6 Sn 0.500 0.000 0.250
7 Sn 0.500 0.000 0.750
8 Sn 0.750 0.500 0.000
9 Bi 0.000 0.500 0.250
10 Bi 0.000 0.500 0.750
11 Bi 0.250 0.000 0.500
12 Bi 0.500 0.250 0.000
13 Bi 0.500 0.750 0.000
14 Bi 0.750 0.000 0.500


First-principles (PBE-GGA) data for an optimized crystal structure of Tl5Sn4Bi4, as listed in Alexandria.

Unit cell a=9.280 b=9.280 c=9.280 alpha=94.64 beta=94.64 gamma=146.97
Positions (direct):
1 Tl 0.000 0.000 0.000
2 Tl 0.313 0.415 0.728
3 Tl 0.415 0.687 0.102
4 Tl 0.585 0.313 0.898
5 Tl 0.687 0.585 0.272
6 Sn 0.091 0.591 0.683
7 Sn 0.409 0.091 0.500
8 Sn 0.591 0.909 0.500
9 Sn 0.909 0.409 0.317
10 Bi 0.100 0.255 0.355
11 Bi 0.255 0.900 0.155
12 Bi 0.745 0.100 0.845
13 Bi 0.900 0.745 0.645


First-principles (PBE-GGA) data for an optimized crystal structure of Tl4SnBi4, as listed in Alexandria.

Unit cell a=7.805 b=7.805 c=7.805 alpha=96.74 beta=96.74 gamma=139.94
Positions (direct):
1 Tl 0.000 0.324 0.324
2 Tl 0.000 0.676 0.676
3 Tl 0.324 0.000 0.324
4 Tl 0.676 0.000 0.676
5 Sn 0.000 0.000 0.000
6 Bi 0.341 0.341 0.682
7 Bi 0.341 0.659 0.000
8 Bi 0.659 0.341 0.000
9 Bi 0.659 0.659 0.318


First-principles (PBE-GGA) data for an optimized crystal structure of TlSnBi2, as listed in Alexandria.

Unit cell a=4.947 b=4.947 c=5.062 alpha=90.00 beta=90.00 gamma=90.00
Positions (direct):
1 Tl 0.000 0.000 0.000
2 Sn 0.500 0.500 0.000
3 Bi 0.000 0.500 0.500
4 Bi 0.500 0.000 0.500


Number 1: energy of formation from the pure elements 2.09 kcal/mol of atoms, total magnetic moment 0.0 μB per cell. Number 2: energy of formation from the pure elements 1.01 kcal/mol of atoms, total magnetic moment 0.0 μB per cell. Number 3: energy of formation from the pure elements 0.21 kcal/mol of atoms, total magnetic moment 0.0 μB per cell. Number 4: energy of formation from the pure elements 2.53 kcal/mol of atoms, total magnetic moment 0.0 μB per cell. Number 5: energy of formation from the pure elements 2.35 kcal/mol of atoms, total magnetic moment 0.0 μB per cell. Number 6: energy of formation from the pure elements 0.28 kcal/mol of atoms, total magnetic moment 0.0 μB per cell. Number 7: energy of formation from the pure elements 5.93 kcal/mol of atoms, total magnetic moment 0.0 μB per cell. Number 8: energy of formation from the pure elements 0.31 kcal/mol of atoms, total magnetic moment 0.0 μB per cell. Number 9: energy of formation from the pure elements 0.76 kcal/mol of atoms, total magnetic moment 0.0 μB per cell. Number 10: energy of formation from the pure elements 1.31 kcal/mol of atoms, total magnetic moment 0.0 μB per cell.